Below is Li8Ge3 after structural relaxation, with properties calculated at the PBE-GGA level.

a = 4.410 Å, b = 4.410 Å, c = 10.190 Å
α = 77.50°, β = 77.50°, γ = 60.00°
Element x y z (fractional)
Li (0.089, 0.089, 0.733)
Li (0.725, 0.725, 0.825)
Li (0.821, 0.821, 0.538)
Li (0.636, 0.636, 0.091)
Li (0.364, 0.364, 0.909)
Li (0.275, 0.275, 0.175)
Li (0.911, 0.911, 0.267)
Li (0.179, 0.179, 0.462)
Ge (0.457, 0.457, 0.628)
Ge (0.543, 0.543, 0.372)
Ge (0.000, 0.000, 0.000)

D(E_F) = 0.162 states/eV per atom
Energy = -3.0077 eV/atom
ΔH_f (0 K) = -0.3566 eV/atom
Distance to the lowest polymorph of the same formula = 0 meV/atom



Below is LiLuGe2 after structural relaxation, with properties calculated at the PBE-GGA level.

a = 4.224 Å, b = 4.224 Å, c = 5.443 Å
α = 67.17°, β = 67.17°, γ = 60.00°
Element x y z (fractional)
Ge (0.776, 0.776, 0.673)
Ge (0.224, 0.224, 0.327)
Lu (0.000, 0.000, 0.000)
Li (0.500, 0.500, 0.500)

D(E_F) = 0.556 states/eV per atom
Energy = -4.3343 eV/atom
ΔH_f (0 K) = -0.4169 eV/atom
Distance to the lowest polymorph of the same formula = 105 meV/atom



Below is LiLuGe after structural relaxation, with properties calculated at the PBE-GGA level.

a = 4.593 Å, b = 4.593 Å, c = 4.593 Å
α = 60.00°, β = 60.00°, γ = 60.00°
Element x y z (fractional)
Lu (0.500, 0.500, 0.500)
Li (0.000, 0.000, 0.000)
Ge (0.250, 0.250, 0.250)

Energy = -4.2210 eV/atom
ΔH_f (0 K) = -0.5369 eV/atom



Below is LiLu2Ge after structural relaxation, with properties calculated at the PBE-GGA level.

a = 3.931 Å, b = 4.680 Å, c = 4.680 Å
α = 90.00°, β = 90.00°, γ = 90.00°
Element x y z (fractional)
Li (0.500, 0.000, 0.000)
Lu (0.000, 0.000, 0.500)
Lu (0.000, 0.500, 0.000)
Ge (0.500, 0.500, 0.500)

D(E_F) = 0.732 states/eV per atom
Energy = -4.2854 eV/atom
ΔH_f (0 K) = -0.3921 eV/atom



Below is LiLuGe2 after structural relaxation, with properties calculated at the PBE-GGA level.

a = 3.467 Å, b = 3.467 Å, c = 6.235 Å
α = 90.00°, β = 90.00°, γ = 90.00°
Element x y z (fractional)
Ge (0.000, 0.000, 0.786)
Ge (0.000, 0.000, 0.214)
Li (0.500, 0.500, 0.000)
Lu (0.500, 0.500, 0.500)

D(E_F) = 0.546 states/eV per atom
Energy = -4.3249 eV/atom
ΔH_f (0 K) = -0.4075 eV/atom
Distance to the lowest polymorph of the same formula = 115 meV/atom



Below is LiLuGe2 after structural relaxation, with properties calculated at the PBE-GGA level.

a = 4.078 Å, b = 4.261 Å, c = 4.261 Å
α = 90.00°, β = 90.00°, γ = 90.00°
Element x y z (fractional)
Lu (0.500, 0.500, 0.500)
Ge (0.000, 0.000, 0.500)
Ge (0.000, 0.500, 0.000)
Li (0.500, 0.000, 0.000)

D(E_F) = 0.299 states/eV per atom
Energy = -4.4395 eV/atom
ΔH_f (0 K) = -0.5221 eV/atom
Distance to the lowest polymorph of the same formula = 0 meV/atom



Below is LiLuGe after structural relaxation, with properties calculated at the PBE-GGA level.

a = 3.882 Å, b = 3.882 Å, c = 4.932 Å
α = 113.18°, β = 113.18°, γ = 90.00°
Element x y z (fractional)
Ge (0.271, 0.271, 0.542)
Lu (0.625, 0.625, 0.249)
Li (0.954, 0.954, 0.909)

D(E_F) = 0.689 states/eV per atom
Energy = -3.9527 eV/atom
ΔH_f (0 K) = -0.2686 eV/atom



Below is LiLuGe after structural relaxation, with properties calculated at the PBE-GGA level.

a = 3.447 Å, b = 4.371 Å, c = 4.371 Å
α = 120.00°, β = 90.00°, γ = 90.00°
Element x y z (fractional)
Li (0.167, 0.667, 0.333)
Ge (0.166, 0.000, 0.000)
Lu (0.667, 0.333, 0.667)

D(E_F) = 0.474 states/eV per atom
Energy = -4.2145 eV/atom
ΔH_f (0 K) = -0.5305 eV/atom



Below is LiLuGe2 after structural relaxation, with properties calculated at the PBE-GGA level.

a = 4.802 Å, b = 4.802 Å, c = 4.802 Å
α = 60.00°, β = 60.00°, γ = 60.00°
Element x y z (fractional)
Lu (0.000, 0.000, 0.000)
Ge (0.750, 0.750, 0.750)
Ge (0.250, 0.250, 0.250)
Li (0.500, 0.500, 0.500)

D(E_F) = 0.693 states/eV per atom
Energy = -4.3041 eV/atom
ΔH_f (0 K) = -0.3867 eV/atom
Distance to the lowest polymorph of the same formula = 135 meV/atom



Below is LiLuGe after structural relaxation, with properties calculated at the PBE-GGA level.

a = 4.209 Å, b = 6.906 Å, c = 6.906 Å
α = 120.00°, β = 90.00°, γ = 90.00°
Element x y z (fractional)
Lu (0.000, 0.429, 0.429)
Lu (0.000, 0.571, 0.000)
Lu (0.000, 0.000, 0.571)
Ge (0.000, 0.000, 0.000)
Ge (0.500, 0.667, 0.333)
Ge (0.500, 0.333, 0.667)
Li (0.500, 0.767, 0.767)
Li (0.500, 0.233, 0.000)
Li (0.500, 0.000, 0.233)

D(E_F) = 0.049 states/eV per atom
Energy = -4.3784 eV/atom
ΔH_f (0 K) = -0.6943 eV/atom



Below is LiNdLuGe after structural relaxation, with properties calculated at the PBE-GGA level.

a = 5.059 Å, b = 5.059 Å, c = 5.059 Å
α = 60.00°, β = 60.00°, γ = 60.00°
Element x y z (fractional)
Lu (0.500, 0.500, 0.500)
Nd (0.000, 0.000, 0.000)
Li (0.250, 0.250, 0.250)
Ge (0.750, 0.750, 0.750)

D(E_F) = 0.546 states/eV per atom
Energy = -4.3379 eV/atom
ΔH_f (0 K) = -0.3829 eV/atom



Below is LiLuGePd after structural relaxation, with properties calculated at the PBE-GGA level.

a = 4.554 Å, b = 4.554 Å, c = 4.554 Å
α = 60.00°, β = 60.00°, γ = 60.00°
Element x y z (fractional)
Lu (0.500, 0.500, 0.500)
Ge (0.000, 0.000, 0.000)
Li (0.250, 0.250, 0.250)
Pd (0.750, 0.750, 0.750)

D(E_F) = 0.009 states/eV per atom
Energy = -4.7906 eV/atom
ΔH_f (0 K) = -0.7294 eV/atom



Among the records above, which one has the lowest ΔH_f (0 K)? LiLuGePd